Entry 1:
Material: Cd4Ag7Sn
Method: DFT, GGA-PBE
State: relaxed

Cell: 5.249 6.049 7.552 Å, 88.59 76.89 89.96°
Fractional positions:
Cd 0.212 0.248 0.340
Cd 0.277 0.496 0.674
Cd 0.723 0.504 0.326
Cd 0.788 0.752 0.660
Ag 0.002 0.749 0.000
Ag 0.224 0.747 0.332
Ag 0.279 0.998 0.663
Ag 0.500 0.500 0.000
Ag 0.721 0.002 0.337
Ag 0.776 0.253 0.668
Ag 0.998 0.251 0.000
Sn 0.500 0.000 0.000

Properties
- V: 233.5 Å³/cell
- Space group: No. 2
- E_form: -0.03 eV per atom


Entry 2:
Material: Rb3NaCu2Cl9
Method: DFT, GGA-PBE
State: relaxed

Cell: 7.091 7.091 8.816 Å, 90.00 90.00 120.00°
Fractional positions:
Rb 0.000 0.000 0.000
Rb 0.333 0.667 0.661
Rb 0.667 0.333 0.339
Na 0.000 0.000 0.500
Cu 0.333 0.667 0.159
Cu 0.667 0.333 0.841
Cl 0.000 0.500 0.000
Cl 0.175 0.350 0.308
Cl 0.175 0.825 0.308
Cl 0.350 0.175 0.692
Cl 0.500 0.000 0.000
Cl 0.500 0.500 0.000
Cl 0.650 0.825 0.308
Cl 0.825 0.175 0.692
Cl 0.825 0.650 0.692

Properties
- Total energy: -3.1418 eV per atom
- V: 383.8 Å³/cell
- Space group: No. 164


Entry 3:
Material: SrCuI
Method: DFT, GGA-PBE
State: relaxed

Cell: 4.420 4.420 13.379 Å, 90.00 90.00 120.00°
Fractional positions:
Sr 0.000 0.000 0.141
Sr 0.000 0.000 0.859
Cu 0.333 0.667 0.000
Cu 0.333 0.667 0.500
I 0.333 0.667 0.316
I 0.333 0.667 0.684

Properties
- Total energy: -2.7866 eV per atom
- V: 226.3 Å³/cell
- Space group: No. 187


Entry 4:
Material: Ti2FeAu
Method: DFT, GGA-PBE
State: relaxed

Cell: 6.877 6.877 5.416 Å, 90.00 90.00 90.00°
Fractional positions:
Ti 0.206 0.750 0.125
Ti 0.250 0.206 0.875
Ti 0.250 0.294 0.375
Ti 0.294 0.750 0.625
Ti 0.706 0.250 0.625
Ti 0.750 0.706 0.375
Ti 0.750 0.794 0.875
Ti 0.794 0.250 0.125
Fe 0.000 0.000 0.000
Fe 0.000 0.500 0.250
Fe 0.500 0.000 0.750
Fe 0.500 0.500 0.500
Au 0.000 0.000 0.500
Au 0.000 0.500 0.750
Au 0.500 0.000 0.250
Au 0.500 0.500 0.000

Properties
- V: 256.2 Å³/cell
- Space group: No. 122
- E_form: 0.08 eV per atom


Entry 5:
Material: MgB2P
Method: DFT, GGA-PBE
State: relaxed

Cell: 4.417 5.228 5.500 Å, 103.81 111.44 99.11°
Fractional positions:
Mg 0.155 0.287 0.331
Mg 0.845 0.713 0.669
B 0.192 0.548 0.009
B 0.398 0.411 0.819
B 0.602 0.589 0.181
B 0.808 0.452 0.991
P 0.481 0.947 0.182
P 0.519 0.053 0.818

Properties
- V: 110.5 Å³/cell
- Space group: No. 2
- E_form: 0.03 eV per atom


Entry 6:
Material: InPbI2F
Method: DFT, GGA-PBE
State: relaxed

Cell: 6.439 6.439 4.698 Å, 90.00 90.00 90.00°
Fractional positions:
In 0.000 0.000 0.000
Pb 0.500 0.500 0.500
I 0.000 0.500 0.500
I 0.500 0.000 0.500
F 0.500 0.500 0.000

Properties
- Total energy: -3.2657 eV per atom
- V: 194.8 Å³/cell
- Space group: No. 123


Entry 7:
Material: Li7CdAu4
Method: DFT, GGA-PBE
State: relaxed

Cell: 6.922 6.922 8.121 Å, 122.00 122.00 40.58°
Fractional positions:
Li 0.000 0.000 0.000
Li 0.241 0.241 0.700
Li 0.287 0.287 0.119
Li 0.431 0.431 0.591
Li 0.569 0.569 0.409
Li 0.713 0.713 0.881
Li 0.759 0.759 0.300
Cd 0.500 0.500 0.000
Au 0.058 0.058 0.732
Au 0.189 0.189 0.348
Au 0.811 0.811 0.652
Au 0.942 0.942 0.268

Properties
- V: 208.9 Å³/cell
- Space group: No. 12
- E_form: -0.34 eV per atom


Entry 8:
Material: BaCa2La
Method: DFT, GGA-PBE
State: relaxed

Cell: 8.922 8.922 8.922 Å, 90.00 90.00 90.00°
Fractional positions:
Ba 0.000 0.000 0.000
Ba 0.000 0.500 0.500
Ba 0.500 0.000 0.500
Ba 0.500 0.500 0.000
Ca 0.000 0.000 0.500
Ca 0.000 0.500 0.000
Ca 0.250 0.250 0.750
Ca 0.250 0.750 0.250
Ca 0.500 0.000 0.000
Ca 0.500 0.500 0.500
Ca 0.750 0.250 0.250
Ca 0.750 0.750 0.750
La 0.250 0.250 0.250
La 0.250 0.750 0.750
La 0.750 0.250 0.750
La 0.750 0.750 0.250

Properties
- V: 710.3 Å³/cell
- Space group: No. 216
- E_form: 0.14 eV per atom


Entry 9:
Material: VOsS2Cl
Method: DFT, GGA-PBE
State: relaxed

Cell: 4.600 4.600 4.621 Å, 90.00 90.00 90.00°
Fractional positions:
V 0.000 0.000 0.000
Os 0.500 0.500 0.500
S 0.000 0.500 0.000
S 0.500 0.000 0.000
Cl 0.000 0.000 0.500

Properties
- Total energy: -5.2313 eV per atom
- V: 97.8 Å³/cell
- Space group: No. 123


Entry 10:
Material: Mg2ZrTc2
Method: DFT, GGA-PBE
State: relaxed

Cell: 3.906 3.906 12.800 Å, 90.00 90.00 90.00°
Fractional positions:
Mg 0.000 0.500 0.250
Mg 0.000 0.500 0.750
Mg 0.500 0.000 0.250
Mg 0.500 0.000 0.750
Zr 0.000 0.000 0.000
Zr 0.500 0.500 0.500
Tc 0.000 0.000 0.413
Tc 0.000 0.000 0.587
Tc 0.500 0.500 0.087
Tc 0.500 0.500 0.913

Properties
- V: 195.3 Å³/cell
- Space group: No. 139
- E_form: 0.40 eV per atom


Entry 11:
Material: PmZnCd2
Method: DFT, GGA-PBE
State: relaxed

Cell: 7.132 7.132 7.132 Å, 90.00 90.00 90.00°
Fractional positions:
Pm 0.000 0.000 0.000
Pm 0.000 0.500 0.500
Pm 0.500 0.000 0.500
Pm 0.500 0.500 0.000
Zn 0.000 0.000 0.500
Zn 0.000 0.500 0.000
Zn 0.500 0.000 0.000
Zn 0.500 0.500 0.500
Cd 0.250 0.250 0.250
Cd 0.250 0.250 0.750
Cd 0.250 0.750 0.250
Cd 0.250 0.750 0.750
Cd 0.750 0.250 0.250
Cd 0.750 0.250 0.750
Cd 0.750 0.750 0.250
Cd 0.750 0.750 0.750

Properties
- V: 362.7 Å³/cell
- Space group: No. 225
- E_form: -0.21 eV per atom


Entry 12:
Material: Li2OsCl6
Method: DFT, GGA-PBE
State: relaxed

Cell: 5.939 5.939 11.153 Å, 90.00 90.00 90.00°
Fractional positions:
Li 0.000 0.000 0.171
Li 0.000 0.000 0.829
Li 0.500 0.500 0.329
Li 0.500 0.500 0.671
Os 0.000 0.000 0.500
Os 0.500 0.500 0.000
Cl 0.190 0.190 0.344
Cl 0.190 0.190 0.656
Cl 0.222 0.222 0.000
Cl 0.278 0.722 0.500
Cl 0.310 0.690 0.156
Cl 0.310 0.690 0.844
Cl 0.690 0.310 0.156
Cl 0.690 0.310 0.844
Cl 0.722 0.278 0.500
Cl 0.778 0.778 0.000
Cl 0.810 0.810 0.344
Cl 0.810 0.810 0.656

Properties
- Total energy: -3.8880 eV per atom
- V: 393.4 Å³/cell
- Space group: No. 136